The following is a DFT calculation (PBE-GGA) of an optimized crystal structure of AcPrMgPt.

abc: 7.671 7.671 7.671
angles: 90.00 90.00 90.00
Space group F-43m (No. 216)
Inequivalent atoms, fractional coordinates:
Ac  0.000  0.000  0.000 (multiplicity 4)
Pr  0.000  0.000  0.500 (multiplicity 4)
Mg  0.250  0.250  0.750 (multiplicity 4)
Pt  0.250  0.250  0.250 (multiplicity 4)

Computed properties:
Fermi-level density of states in states/eV/cell: 14.679
E in eV/atom: -4.562